1.
This record from the Alexandria database describes an optimized crystal structure of Ba2NaBiPt. The functional is GGA-PBE.

Properties
**N(E_F)**: 0.243 states/eV/atom
**E**: -3.58 eV per atom
**Formation enthalpy at 0 K**: -567 meV/atom

Cell: 6.068 6.068 5.372 Å, 90.00 90.00 90.00°
Fractional positions:
Ba 0.000 0.500 0.000
Ba 0.500 0.000 0.000
Na 0.000 0.000 0.500
Bi 0.500 0.500 0.500
Pt 0.000 0.000 0.000

2.
This record from the Alexandria database describes an optimized crystal structure of Bi2HRh. The functional is GGA-PBE.

Properties
**N(E_F)**: 0.365 states/eV/atom
**E**: -4.71 eV per atom
**Relative energy among the computed polymorphs**: 0 meV per atom

Cell: 5.981 3.361 8.233 Å, 90.00 109.67 90.00°
Fractional positions:
Bi 0.216 0.250 0.418
Bi 0.231 0.250 0.949
Bi 0.769 0.750 0.051
Bi 0.784 0.750 0.582
H 0.495 0.250 0.741
H 0.505 0.750 0.259
Rh 0.396 0.750 0.724
Rh 0.604 0.250 0.276

3.
This record from the Alexandria database describes an optimized crystal structure of Y4IrPd3. The functional is GGA-PBE.

Properties
**N(E_F)**: 0.615 states/eV/atom
**E**: -7.15 eV per atom
**Formation enthalpy at 0 K**: -865 meV/atom

Cell: 3.497 3.497 14.020 Å, 90.00 90.00 90.00°
Fractional positions:
Y 0.000 0.000 0.118
Y 0.000 0.000 0.374
Y 0.000 0.000 0.626
Y 0.000 0.000 0.882
Ir 0.500 0.500 0.000
Pd 0.500 0.500 0.249
Pd 0.500 0.500 0.500
Pd 0.500 0.500 0.751

4.
This record from the Alexandria database describes an optimized crystal structure of Nd4Tm5Al. The functional is GGA-PBE.

Properties
**N(E_F)**: 1.430 states/eV/atom
**E**: -4.45 eV per atom
**Relative energy among the computed polymorphs**: 132 meV per atom
**Formation enthalpy at 0 K**: 69 meV/atom

Cell: 8.061 8.061 8.061 Å, 97.08 97.08 138.89°
Fractional positions:
Nd 0.000 0.310 0.310
Nd 0.000 0.690 0.690
Nd 0.310 0.000 0.310
Nd 0.690 0.000 0.690
Tm 0.309 0.309 0.638
Tm 0.309 0.672 0.000
Tm 0.672 0.309 0.000
Tm 0.672 0.672 0.362
Tm 0.796 0.796 0.000
Al 0.283 0.283 0.000

Question: Number 1 is which compound?
Answer: Ba2NaBiPt

Question: The lowest N(E_F) belongs to which entry?
Answer: Ba2NaBiPt

Question: Which of these has the lowest N(E_F)?
Answer: Ba2NaBiPt

Question: The highest E belongs to which entry?
Answer: Ba2NaBiPt